Here is a geometry-optimized RbTlS2 structure from Alexandria. Energies are from GGA-PBE.

raw total energy: -10.53 eV per formula unit
offset from the most stable computed form: 0.9004 eV per atom
total magnetization: 0.00 Bohr magnetons per cell

Unit cell a=11.313 b=11.313 c=11.313 alpha=17.34 beta=17.34 gamma=17.34
Sites, in units of the cell vectors:
Rb: 0.000 0.000 0.000
Tl: 0.500 0.500 0.500
S: 0.410 0.410 0.410
S: 0.590 0.590 0.590